Here is crystalline Ca2TlAgCl6 at its relaxed geometry from the Alexandria database. Energies are from PBE-GGA.

The formation energy without anion corrections comes out at -1.709 eV per atom. The total DFT energy (no corrections) comes out at -3.739 eV per atom.

It has space group R3 (No. 146, hexagonal axes), with a = 7.2346 Å, b = 7.2346 Å, c = 19.0635 Å, α = 90.00°, β = 90.00° and γ = 120.00°. The distinct sites, in fractional coordinates, are Ca at (0.0000, 0.0000, 0.0000), Ca at (0.0000, 0.0000, 0.4919), Tl at (0.0000, 0.0000, 0.2773), Ag at (0.0000, 0.0000, 0.7954), Cl at (0.0284, 0.3408, 0.0746) and Cl at (0.0892, 0.7408, 0.5713).


Here is crystalline CaTl2AgCl5 at its relaxed geometry from the Alexandria database. Energies are from PBE-GGA.

The formation energy without anion corrections comes out at -1.357 eV per atom. The total DFT energy (no corrections) comes out at -3.448 eV per atom.

It has space group Cmc2_1 (No. 36), with a = 4.203 Å, b = 18.496 Å, c = 13.769 Å, α = 90.00°, β = 90.00° and γ = 90.00°. The distinct sites, in fractional coordinates, are Ca at (0.000, 0.211, 0.000), Tl at (0.000, 0.100, 0.649), Tl at (0.000, 0.131, 0.292), Ag at (0.000, 0.455, 0.423), Cl at (0.000, 0.061, 0.031), Cl at (0.000, 0.279, 0.632), Cl at (0.000, 0.304, 0.369), Cl at (0.000, 0.358, 0.979) and Cl at (0.000, 0.495, 0.755).


Here is crystalline CaTl2Ag2Cl6 at its relaxed geometry from the Alexandria database. Energies are from PBE-GGA.

The formation energy without anion corrections comes out at -1.162 eV per atom. The total DFT energy (no corrections) comes out at -3.300 eV per atom.

It has space group C2/m (No. 12), with a = 13.767 Å, b = 7.532 Å, c = 7.548 Å, α = 90.00°, β = 121.26° and γ = 90.00°. The distinct sites, in fractional coordinates, are Ca at (0.000, 0.000, 0.000), Tl at (0.239, 0.000, 0.685), Ag at (0.070, 0.500, 0.731), Cl at (0.066, 0.249, 0.310) and Cl at (0.222, 0.000, 0.099).


Here is crystalline CaTlAgCl4 at its relaxed geometry from the Alexandria database. Energies are from PBE-GGA.

The formation energy without anion corrections comes out at -1.405 eV per atom. The total DFT energy (no corrections) comes out at -3.491 eV per atom.

It has space group P2_1/m (No. 11), with a = 7.067 Å, b = 7.203 Å, c = 8.800 Å, α = 90.00°, β = 110.45° and γ = 90.00°. The distinct sites, in fractional coordinates, are Ca at (0.196, 0.250, 0.047), Tl at (0.249, 0.250, 0.550), Ag at (0.239, 0.750, 0.806), Cl at (0.027, 0.507, 0.205), Cl at (0.482, 0.250, 0.905) and Cl at (0.482, 0.750, 0.654).


Here is crystalline CaTmAgCl6 at its relaxed geometry from the Alexandria database. Energies are from PBE-GGA.

The formation energy without anion corrections comes out at -1.897 eV per atom. The total DFT energy (no corrections) comes out at -4.164 eV per atom.

It has space group P-31c (No. 163), with a = 6.8785 Å, b = 6.8785 Å, c = 12.0895 Å, α = 90.00°, β = 90.00° and γ = 120.00°. The distinct sites, in fractional coordinates, are Ca at (0.3333, 0.6667, 0.2500), Tm at (0.3333, 0.6667, 0.7500), Ag at (0.0000, 0.0000, 0.0000) and Cl at (0.0151, 0.3545, 0.6287).


Here is crystalline Ca2VAgCl at its relaxed geometry from the Alexandria database. Energies are from PBE-GGA.

The formation energy without anion corrections comes out at -0.075 eV per atom. The total DFT energy (no corrections) comes out at -3.639 eV per atom.

It has space group P4/mmm (No. 123), with a = 5.402 Å, b = 5.402 Å, c = 4.521 Å, α = 90.00°, β = 90.00° and γ = 90.00°. The distinct sites, in fractional coordinates, are Ca at (0.000, 0.500, 0.000), V at (0.000, 0.000, 0.500), Ag at (0.500, 0.500, 0.500) and Cl at (0.000, 0.000, 0.000).